Record 1
! PBE HfRuPbI2, relaxed; values from VASP
! V	156	Å³ per cell
! formation energy without anion corrections	0.58	eV per atom
&SYSTEM
  ibrav = 0, nat = 5, ntyp = 4
/
ATOMIC_SPECIES
I 126.90 I.upf
Pb 207.20 Pb.upf
Hf 178.49 Hf.upf
Ru 101.07 Ru.upf
ATOMIC_POSITIONS angstrom
I 1.232 -0.874 2.389
I -1.932 1.405 1.511
Pb 0.732 2.515 3.887
Hf 0.000 0.000 0.000
Ru 1.433 1.984 -0.013
CELL_PARAMETERS angstrom
-3.865 2.809 3.021
2.464 -1.749 4.778
2.865 3.969 -0.025

=====

Record 2
! PBE HfSb2PbI, relaxed; values from VASP
! V	176	Å³ per cell
! formation energy without anion corrections	0.12	eV per atom
! energy above the lowest structure with this stoichiometry	0.00	eV per formula unit
&SYSTEM
  ibrav = 0, nat = 5, ntyp = 4
/
ATOMIC_SPECIES
I 126.90 I.upf
Pb 207.20 Pb.upf
Sb 121.76 Sb.upf
Hf 178.49 Hf.upf
ATOMIC_POSITIONS angstrom
I 0.000 0.000 2.804
Pb 2.801 2.801 2.804
Sb 0.000 2.801 0.000
Sb 2.801 0.000 0.000
Hf 0.000 0.000 0.000
CELL_PARAMETERS angstrom
5.602 0.000 0.000
0.000 5.602 0.000
0.000 0.000 5.609

=====

Record 3
! PBE HfSbPbI2, relaxed; values from VASP
! V	187	Å³ per cell
! formation energy without anion corrections	0.27	eV per atom
! energy above the lowest structure with this stoichiometry	1.15	eV per formula unit
&SYSTEM
  ibrav = 0, nat = 5, ntyp = 4
/
ATOMIC_SPECIES
I 126.90 I.upf
Pb 207.20 Pb.upf
Sb 121.76 Sb.upf
Hf 178.49 Hf.upf
ATOMIC_POSITIONS angstrom
I 2.744 0.000 0.000
I 0.000 0.000 2.744
Pb 0.000 3.096 0.000
Sb 2.744 3.096 2.744
Hf 0.000 0.000 0.000
CELL_PARAMETERS angstrom
5.489 0.000 0.000
0.000 6.193 0.000
0.000 0.000 5.489

=====

Record 4
! PBE HfSbPbI2, relaxed; values from VASP
! V	189	Å³ per cell
! formation energy without anion corrections	0.04	eV per atom
! energy above the lowest structure with this stoichiometry	0.00	eV per formula unit
&SYSTEM
  ibrav = 0, nat = 5, ntyp = 4
/
ATOMIC_SPECIES
I 126.90 I.upf
Pb 207.20 Pb.upf
Sb 121.76 Sb.upf
Hf 178.49 Hf.upf
ATOMIC_POSITIONS angstrom
I 0.000 2.840 0.000
I 2.840 0.000 0.000
Pb 2.840 2.840 2.928
Sb 0.000 0.000 2.928
Hf 0.000 0.000 0.000
CELL_PARAMETERS angstrom
5.679 0.000 0.000
0.000 5.679 0.000
0.000 0.000 5.855